KNa3Al4Si4O16: optimized geometry, PBE.

a = 10.1324 Å, b = 10.1324 Å, c = 8.5107 Å
α = 90.00°, β = 90.00°, γ = 120.00°
Space group P6_3 (No. 173)
One atom of each set of equivalent atoms:
K 0.0000 0.0000 0.0000
Na 0.0065 0.4495 0.4949
Al 0.0926 0.3321 0.8065
Al 0.3333 0.6667 0.2966
Si 0.0934 0.3330 0.1790
Si 0.3333 0.6667 0.6917
O 0.0243 0.3134 0.0006
O 0.0420 0.7786 0.8011
O 0.0590 0.7746 0.1761
O 0.1605 0.5098 0.2342
O 0.1716 0.5241 0.7532
O 0.3333 0.6667 0.5009

Results
Total magnetization   0.00 μB/atom
Offset from the most stable computed form   0.000 eV per atom
Formation energy from raw total energies   -2.76 eV per atom

HfBrCl3: optimized geometry, PBE.

a = 4.983 Å, b = 4.983 Å, c = 4.983 Å
α = 90.00°, β = 90.00°, γ = 90.00°
Space group Pm-3m (No. 221)
One atom of each set of equivalent atoms:
Hf 0.000 0.000 0.000
Br 0.500 0.500 0.500
Cl 0.000 0.000 0.500

Results
Total magnetization   0.01 μB/atom
Offset from the most stable computed form   0.547 eV per atom
Formation energy from raw total energies   -1.10 eV per atom

LiBC: optimized geometry, PBE.

a = 4.094 Å, b = 2.828 Å, c = 5.293 Å
α = 90.00°, β = 112.55°, γ = 90.00°
Space group P2_1/m (No. 11)
One atom of each set of equivalent atoms:
Li 0.209 0.250 0.417
B 0.442 0.250 0.885
C 0.381 0.750 0.764

Results
Total magnetization   0.00 μB/atom
Energy of formation   0.0 eV per formula unit

Q: Which formula does entry 3 have?
A: LiBC

Q: Which value of total magnetization does entry 3 give?
A: 0.00 μB/atom

Q: Which value of total magnetization does entry 3 give?
A: 0.00 μB/atom